No. 1
First-principles (GGA-PBE) data for a geometry-optimized Ca2Ac3Ge3 structure, as listed in Alexandria via LeMat-Bulk.

Properties
**Space-group type**: Immm (71)
**Energy of formation from the pure elements**: -439 meV per atom

Unit cell a=12.1342 b=12.1342 c=12.1342 alpha=159.60 beta=156.37 gamma=31.42
Atoms (fractional coordinates):
Ca1 0.2481 0.2481 0.0000
Ca2 0.7519 0.7519 0.0000
Ac1 0.0000 0.0000 0.0000
Ac2 0.3820 0.8820 0.5000
Ac3 0.6180 0.1180 0.5000
Ge1 0.1569 0.6569 0.5000
Ge2 0.5000 0.5000 0.0000
Ge3 0.8431 0.3431 0.5000

=====

No. 2
First-principles (GGA-PBE) data for a geometry-optimized CsBi2I2 structure, as listed in Alexandria via LeMat-Bulk.

Properties
**Formation energy without anion corrections**: -1.9 eV/f.u.
**Space-group type**: P4/mbm (127)

Unit cell a=9.8687 b=9.8687 c=6.2658 alpha=90.00 beta=90.00 gamma=90.00
Atoms (fractional coordinates):
Cs1 0.0000 0.0000 0.0000
Cs2 0.5000 0.5000 0.0000
Bi1 0.1039 0.3961 0.5000
Bi2 0.3961 0.8961 0.5000
Bi3 0.6039 0.1039 0.5000
Bi4 0.8961 0.6039 0.5000
I1 0.1431 0.3569 0.0000
I2 0.3569 0.8569 0.0000
I3 0.6431 0.1431 0.0000
I4 0.8569 0.6431 0.0000

=====

No. 3
First-principles (GGA-PBE) data for a geometry-optimized CaTa3 structure, as listed in Alexandria via LeMat-Bulk.

Properties
**Space-group type**: P-6m2 (187)
**Energy of formation from the pure elements**: 576 meV per atom

Unit cell a=2.9791 b=2.9791 c=10.7603 alpha=90.00 beta=90.00 gamma=120.00
Atoms (fractional coordinates):
Ca1 0.0000 0.0000 0.0000
Ta1 0.0000 0.0000 0.5000
Ta2 0.6667 0.3333 0.2656
Ta3 0.6667 0.3333 0.7344

=====

No. 4
First-principles (GGA-PBE) data for a geometry-optimized Y7Cd2In2 structure, as listed in Alexandria via LeMat-Bulk.

Properties
**Space-group type**: Cmmm (65)
**Energy of formation from the pure elements**: -20 meV per atom

Unit cell a=6.8307 b=6.8307 c=7.9075 alpha=90.00 beta=90.00 gamma=110.73
Atoms (fractional coordinates):
Y1 0.0000 0.0000 0.0000
Y2 0.0000 0.5000 0.2890
Y3 0.0000 0.5000 0.7110
Y4 0.5000 0.0000 0.2890
Y5 0.5000 0.0000 0.7110
Y6 0.5000 0.5000 0.2543
Y7 0.5000 0.5000 0.7457
Cd1 0.2870 0.7130 0.0000
Cd2 0.7130 0.2870 0.0000
In1 0.1817 0.1817 0.5000
In2 0.8183 0.8183 0.5000

=====

No. 5
First-principles (GGA-PBE) data for a geometry-optimized ZnAgCl2 structure, as listed in Alexandria via LeMat-Bulk.

Properties
**Formation energy without anion corrections**: -1.1 eV/f.u.
**Space-group type**: P2/m (10)

Unit cell a=3.4296 b=3.7354 c=7.4509 alpha=90.00 beta=100.93 gamma=90.00
Atoms (fractional coordinates):
Zn1 0.0000 0.0000 0.0000
Ag1 0.0000 0.0000 0.5000
Cl1 0.0897 0.5000 0.2547
Cl2 0.9103 0.5000 0.7453

=====

No. 6
First-principles (GGA-PBE) data for a geometry-optimized Cr2PtPb structure, as listed in Alexandria via LeMat-Bulk.

Properties
**Space-group type**: R-3m (166)
**Energy of formation from the pure elements**: 524 meV per atom

Unit cell a=8.7596 b=8.7596 c=8.7596 alpha=21.22 beta=21.22 gamma=21.22
Atoms (fractional coordinates):
Cr1 0.2388 0.2388 0.2388
Cr2 0.7612 0.7612 0.7612
Pt1 0.5000 0.5000 0.5000
Pb1 0.0000 0.0000 0.0000